SiAgSb2 (SCAN, single point on PBEsol structure); crystal system = tetragonal; density of states at the Fermi level = 1.921 states/eV/cell; calculated volume = 21.6 Å³ per atom; raw formation energy = 512.0 meV per atom
1.0
-1.681 -1.771 -3.366
-1.364 -3.154 2.341
-2.743 4.926 1.346
Ag Sb Si
1 2 1
Direct
0.250 0.750 0.500 Ag
0.000 0.000 0.000 Sb
0.750 0.250 0.500 Sb
0.500 0.500 0.000 Si